No. 1
9
Lattice="5.721 0.000 0.000 2.861 4.955 0.000 0.000 0.000 5.198" Properties=species:S:1:pos:R:3 comment="AcPrTcO6 (GGA-PBE, optimized geometry)" formation_energy_uncorrected_mev_per_atom=-2416 pbc="T T T"
Tc 2.861 1.652 2.599
O 1.256 1.635 1.488
O 3.649 3.050 1.488
O 2.073 3.050 3.710
O 2.044 0.270 3.710
O 3.677 0.270 1.488
O 4.465 1.635 3.710
Pr 5.721 3.303 2.599
Ac 8.582 4.955 5.198

---

No. 2
18
Lattice="-3.629 2.529 3.982 -2.026 -1.365 -5.427 -2.535 -8.491 3.083" Properties=species:S:1:pos:R:3 comment="AcPrTeO6 (GGA-PBE, optimized geometry)" formation_energy_uncorrected_mev_per_atom=-2325 pbc="T T T"
O -3.840 -8.128 -0.767
O -4.350 0.801 2.405
O -5.225 -4.747 0.683
O -6.320 -7.082 0.077
O -4.069 -0.231 -0.206
O -2.964 -2.581 0.955
O -1.870 -0.246 1.561
O -5.557 -1.610 1.498
O -4.631 -5.843 -1.848
O -4.121 -7.097 1.844
O -3.559 -1.485 3.486
O -2.633 -5.718 0.140
Ac -4.996 -5.137 3.158
Ac -3.194 -2.190 -1.520
Pr -1.267 -4.246 1.541
Pr 0.000 0.000 0.000
Te -3.728 -0.892 1.616
Te -4.462 -6.436 0.021

---

No. 3
12
Lattice="4.391 -0.160 -0.001 -0.124 5.541 -0.006 0.003 0.008 7.469" Properties=species:S:1:pos:R:3 comment="AcPr2TeO8 (GGA-PBE, optimized geometry)" formation_energy_uncorrected_mev_per_atom=-2373 pbc="T T T"
O 2.532 4.494 7.463
O 0.203 4.232 6.012
O 4.070 1.162 6.014
O 4.068 1.157 1.450
O 2.081 1.345 3.732
O 2.189 4.044 3.730
O 0.201 4.227 1.448
O 1.738 0.895 -0.001
Pr 2.135 2.693 1.846
Pr 2.136 2.696 5.616
Ac 0.002 0.004 3.735
Te 0.000 0.000 0.000

---

No. 4
5
Lattice="-2.294 -2.360 -2.579 2.807 0.594 -3.041 3.083 -4.569 4.827" Properties=species:S:1:pos:R:3 comment="AcPrTeO2 (GGA-PBE, optimized geometry)" formation_energy_uncorrected_mev_per_atom=-2907 pbc="T T T"
Pr 2.529 -4.592 -1.437
Ac 1.050 -1.715 0.635
O 3.098 -2.470 -0.496
O 0.548 -3.947 -0.265
Te 3.306 -5.396 1.997

---

No. 5
4
Lattice="-3.475 0.872 1.587 -1.573 -3.403 -1.575 4.334 -2.316 5.925" Properties=species:S:1:pos:R:3 comment="AcPrTlO (GGA-PBE, optimized geometry)" formation_energy_uncorrected_mev_per_atom=-1553 pbc="T T T"
Ac -1.077 -0.599 2.808
Tl 0.467 -3.909 3.170
O -2.209 -1.617 0.888
Pr 0.043 -2.814 6.477

---

No. 6
11
Lattice="5.122 0.000 0.000 0.000 5.122 0.000 -2.561 -2.561 13.318" Properties=species:S:1:pos:R:3 comment="Ac4Pr2Tl3O2 (GGA-PBE, optimized geometry)" formation_energy_uncorrected_mev_per_atom=-1101 pbc="T T T"
Ac 2.561 0.000 10.965
Ac 0.000 2.561 10.965
Ac 2.561 0.000 2.353
Ac 0.000 2.561 2.353
Pr 0.000 0.000 7.963
Pr 2.561 2.561 5.355
Tl 0.000 0.000 0.000
Tl 0.000 0.000 4.757
Tl 2.561 2.561 8.561
O 2.561 2.561 2.844
O 0.000 0.000 10.475

---

No. 7
11
Lattice="4.995 0.000 0.000 0.000 4.995 0.000 -2.497 -2.497 13.179" Properties=species:S:1:pos:R:3 comment="Ac2Pr4Tl3O2 (GGA-PBE, optimized geometry)" formation_energy_uncorrected_mev_per_atom=-1200 pbc="T T T"
Ac 2.497 2.497 5.172
Ac 0.000 0.000 8.006
Tl 0.000 0.000 4.502
Tl 2.497 2.497 8.677
Tl 0.000 0.000 0.000
Pr 0.000 2.497 2.172
Pr 0.000 2.497 11.007
Pr 2.497 0.000 11.007
Pr 2.497 0.000 2.172
O 0.000 0.000 10.532
O 2.497 2.497 2.647

---

No. 8
10
Lattice="6.252 0.000 0.000 3.126 5.414 0.000 3.126 1.805 5.262" Properties=species:S:1:pos:R:3 comment="Ac2PrTlO6 (GGA-PBE, optimized geometry)" formation_energy_uncorrected_mev_per_atom=-2619 pbc="T T T"
Pr 9.378 5.415 3.059
Ac 6.252 3.610 2.122
Ac 3.126 1.805 4.737
O 6.999 1.997 3.999
O 4.482 3.769 3.999
O 7.275 5.063 3.999
O 4.928 5.618 1.367
O 5.175 1.459 1.367
O 8.654 3.752 1.367
Tl 3.126 1.805 0.377